# Zn4WF12

Crystalline Zn4WF12 at its relaxed geometry (PBE+U, Alexandria).

It has space group Immm (No. 71), with a = 7.364 Å, b = 8.196 Å, c = 8.211 Å, α = 90.00°, β = 90.00° and γ = 90.00°. Symmetry generates all atoms from Zn at (0.250, 0.250, 0.250), W at (0.000, 0.000, 0.000), F at (0.000, 0.301, 0.301), F at (0.169, 0.000, 0.212) and F at (0.169, 0.213, 0.000).

The raw total energy is -4.394 eV per atom. As for the volume: 14.6 A^3/atom.